[1]
PBE CuGeIrPd, optimized geometry; energy relative to the elements = -0.7 eV per formula unit; symmetry = F-43m (216)
1.0
0.0000 3.0416 3.0416
3.0416 0.0000 3.0416
3.0416 3.0416 0.0000
Cu Ge Ir Pd
1 1 1 1
Direct
0.0000 0.0000 0.0000
0.5000 0.5000 0.5000
0.7500 0.7500 0.7500
0.2500 0.2500 0.2500



[2]
PBE Pm2CuGe3Ir4, optimized geometry; energy relative to the elements = -6.8 eV per formula unit; symmetry = P-4m2 (115)
1.0
4.1992 0.0000 0.0000
0.0000 4.1992 0.0000
0.0000 0.0000 10.3707
Pm Cu Ge Ir
2 1 3 4
Direct
0.0000 0.5000 0.2461
0.5000 0.0000 0.7539
0.5000 0.5000 0.0000
0.0000 0.0000 0.0000
0.0000 0.5000 0.6307
0.5000 0.0000 0.3693
0.0000 0.0000 0.5000
0.0000 0.5000 0.8665
0.5000 0.0000 0.1335
0.5000 0.5000 0.5000



[3]
PBE PmCuGeIr, optimized geometry; energy relative to the elements = -1.2 eV per formula unit; symmetry = F-43m (216)
1.0
0.0000 3.2804 3.2804
3.2804 0.0000 3.2804
3.2804 3.2804 0.0000
Pm Cu Ge Ir
1 1 1 1
Direct
0.0000 0.0000 0.0000
0.7500 0.7500 0.7500
0.2500 0.2500 0.2500
0.5000 0.5000 0.5000



[4]
PBE PmCuGe2Ir, optimized geometry; energy relative to the elements = -2.9 eV per formula unit; symmetry = I-4m2 (119)
1.0
-2.0917 2.0917 5.1955
2.0917 -2.0917 5.1955
2.0917 2.0917 -5.1955
Pm Cu Ge Ir
1 1 2 1
Direct
0.0000 0.0000 0.0000
0.7500 0.2500 0.5000
0.3778 0.3778 0.0000
0.6222 0.6222 0.0000
0.2500 0.7500 0.5000



[5]
PBE Pm2Cu4Ge3Ir, optimized geometry; energy relative to the elements = -4.1 eV per formula unit; symmetry = P-4m2 (115)
1.0
4.1174 0.0000 0.0000
0.0000 4.1174 0.0000
0.0000 0.0000 10.3184
Pm Cu Ge Ir
2 4 3 1
Direct
0.0000 0.5000 0.2498
0.5000 0.0000 0.7502
0.0000 0.0000 0.0000
0.0000 0.5000 0.6409
0.5000 0.0000 0.3591
0.5000 0.5000 0.0000
0.0000 0.5000 0.8708
0.5000 0.0000 0.1292
0.5000 0.5000 0.5000
0.0000 0.0000 0.5000



[6]
PBE Pr2CuGe3Ir4, optimized geometry; energy relative to the elements = -6.7 eV per formula unit; symmetry = P-4m2 (115)
1.0
4.2282 0.0000 0.0000
0.0000 4.2282 0.0000
0.0000 0.0000 10.3848
Pr Cu Ge Ir
2 1 3 4
Direct
0.0000 0.5000 0.2453
0.5000 0.0000 0.7547
0.5000 0.5000 0.0000
0.0000 0.0000 0.0000
0.0000 0.5000 0.6300
0.5000 0.0000 0.3700
0.0000 0.0000 0.5000
0.0000 0.5000 0.8675
0.5000 0.0000 0.1325
0.5000 0.5000 0.5000



[7]
PBE Pr2Cu3Ge4Ir, optimized geometry; energy relative to the elements = -5.4 eV per formula unit; symmetry = P-4m2 (115)
1.0
4.2053 0.0000 0.0000
0.0000 4.2053 0.0000
0.0000 0.0000 10.3147
Pr Cu Ge Ir
2 3 4 1
Direct
0.0000 0.5000 0.2498
0.5000 0.0000 0.7502
0.0000 0.0000 0.0000
0.0000 0.5000 0.6312
0.5000 0.0000 0.3688
0.0000 0.0000 0.5000
0.0000 0.5000 0.8681
0.5000 0.0000 0.1319
0.5000 0.5000 0.5000
0.5000 0.5000 0.0000



[8]
PBE Pu2CuGe4Ir3, optimized geometry; energy relative to the elements = -4.7 eV per formula unit; symmetry = P-4m2 (115)
1.0
4.2484 0.0000 0.0000
0.0000 4.2484 0.0000
0.0000 0.0000 10.1321
Pu Cu Ge Ir
2 1 4 3
Direct
0.0000 0.5000 0.2483
0.5000 0.0000 0.7517
0.0000 0.0000 0.5000
0.0000 0.0000 0.0000
0.0000 0.5000 0.6301
0.5000 0.0000 0.3699
0.5000 0.5000 0.0000
0.0000 0.5000 0.8705
0.5000 0.0000 0.1295
0.5000 0.5000 0.5000



[9]
PBE RbCuGe2Ir, optimized geometry; energy relative to the elements = 12.2 eV per formula unit; symmetry = P4/mmm (123)
1.0
5.5328 0.0000 0.0000
0.0000 5.5328 0.0000
0.0000 0.0000 4.9401
Rb Cu Ge Ir
1 1 2 1
Direct
0.0000 0.0000 0.0000
0.5000 0.5000 0.5000
0.0000 0.5000 0.0000
0.5000 0.0000 0.0000
0.0000 0.0000 0.5000



[10]
PBE ScCuGeIr, optimized geometry; energy relative to the elements = -1.9 eV per formula unit; symmetry = F-43m (216)
1.0
0.0000 3.1147 3.1147
3.1147 0.0000 3.1147
3.1147 3.1147 0.0000
Sc Cu Ge Ir
1 1 1 1
Direct
0.0000 0.0000 0.0000
0.7500 0.7500 0.7500
0.2500 0.2500 0.2500
0.5000 0.5000 0.5000



[11]
PBE CuGe2IrSe6, optimized geometry; raw formation energy = -0.17 eV per atom; symmetry = C2/c (15)
1.0
6.2715 -5.6994 0.0000
6.2715 5.6994 0.0000
-1.3452 0.0000 6.4718
Cu Ge Ir Se
2 4 2 12
Direct
0.2386 0.7614 0.7500
0.7614 0.2386 0.2500
0.0988 0.2840 0.8060
0.2840 0.0988 0.3060
0.7160 0.9012 0.6940
0.9012 0.7160 0.1940
0.4105 0.5895 0.2500
0.5895 0.4105 0.7500
0.0355 0.2096 0.1237
0.1499 0.6136 0.3959
0.2096 0.0355 0.6237
0.3179 0.4872 0.8775
0.3864 0.8501 0.1041
0.4872 0.3179 0.3775
0.5128 0.6821 0.6225
0.6136 0.1499 0.8959
0.6821 0.5128 0.1225
0.7904 0.9645 0.3763
0.8501 0.3864 0.6041
0.9645 0.7904 0.8763



[12]
PBE SmCuGe2Ir, optimized geometry; energy relative to the elements = -2.9 eV per formula unit; symmetry = I-4m2 (119)
1.0
-2.0865 2.0865 5.1878
2.0865 -2.0865 5.1878
2.0865 2.0865 -5.1878
Sm Cu Ge Ir
1 1 2 1
Direct
0.0000 0.0000 0.0000
0.2500 0.7500 0.5000
0.3782 0.3782 0.0000
0.6218 0.6218 0.0000
0.7500 0.2500 0.5000



[13]
PBE SrCuGe2Ir, optimized geometry; energy relative to the elements = -2.2 eV per formula unit; symmetry = I-4m2 (119)
1.0
-2.1253 2.1253 5.3689
2.1253 -2.1253 5.3689
2.1253 2.1253 -5.3689
Sr Cu Ge Ir
1 1 2 1
Direct
0.0000 0.0000 0.0000
0.2500 0.7500 0.5000
0.3704 0.3704 0.0000
0.6296 0.6296 0.0000
0.7500 0.2500 0.5000



[14]
PBE Tb2CuGe4Ir3, optimized geometry; energy relative to the elements = -6.6 eV per formula unit; symmetry = P-4m2 (115)
1.0
4.2300 0.0000 0.0000
0.0000 4.2300 0.0000
0.0000 0.0000 10.1426
Tb Cu Ge Ir
2 1 4 3
Direct
0.0000 0.5000 0.2449
0.5000 0.0000 0.7551
0.0000 0.0000 0.5000
0.0000 0.0000 0.0000
0.0000 0.5000 0.6315
0.5000 0.0000 0.3685
0.5000 0.5000 0.0000
0.0000 0.5000 0.8707
0.5000 0.0000 0.1293
0.5000 0.5000 0.5000



[15]
PBE Th2CuGe4Ir3, optimized geometry; energy relative to the elements = -7.2 eV per formula unit; symmetry = P-4m2 (115)
1.0
4.2966 0.0000 0.0000
0.0000 4.2966 0.0000
0.0000 0.0000 10.1055
Th Cu Ge Ir
2 1 4 3
Direct
0.0000 0.5000 0.2493
0.5000 0.0000 0.7507
0.5000 0.5000 0.0000
0.0000 0.0000 0.5000
0.0000 0.5000 0.8696
0.5000 0.0000 0.1304
0.5000 0.5000 0.5000
0.0000 0.0000 0.0000
0.0000 0.5000 0.6272
0.5000 0.0000 0.3728



[16]
PBE TiCuGeIr2, optimized geometry; energy relative to the elements = 5.5 eV per formula unit; symmetry = P4/mmm (123)
1.0
4.5744 0.0000 0.0000
0.0000 4.5744 0.0000
0.0000 0.0000 4.7979
Ti Cu Ge Ir
1 1 1 2
Direct
0.0000 0.0000 0.0000
0.5000 0.5000 0.5000
0.0000 0.0000 0.5000
0.0000 0.5000 0.0000
0.5000 0.0000 0.0000



[17]
PBE Tm2CuGe4Ir3, optimized geometry; energy relative to the elements = -6.2 eV per formula unit; symmetry = P-4m2 (115)
1.0
4.1663 0.0000 0.0000
0.0000 4.1663 0.0000
0.0000 0.0000 10.2761
Tm Cu Ge Ir
2 1 4 3
Direct
0.0000 0.5000 0.2468
0.5000 0.0000 0.7532
0.0000 0.0000 0.5000
0.0000 0.0000 0.0000
0.0000 0.5000 0.6322
0.5000 0.0000 0.3678
0.5000 0.5000 0.0000
0.0000 0.5000 0.8677
0.5000 0.0000 0.1323
0.5000 0.5000 0.5000



[18]
PBE TmCuGe2Ir, optimized geometry; energy relative to the elements = -2.6 eV per formula unit; symmetry = I-4m2 (119)
1.0
-2.0569 2.0569 5.1392
2.0569 -2.0569 5.1392
2.0569 2.0569 -5.1392
Tm Cu Ge Ir
1 1 2 1
Direct
0.0000 0.0000 0.0000
0.2500 0.7500 0.5000
0.3810 0.3810 0.0000
0.6190 0.6190 0.0000
0.7500 0.2500 0.5000



[19]
PBE U2CuGe3Ir4, optimized geometry; energy relative to the elements = -4.1 eV per formula unit; symmetry = P-4m2 (115)
1.0
4.0728 0.0000 0.0000
0.0000 4.0728 0.0000
0.0000 0.0000 10.6962
U Cu Ge Ir
2 1 3 4
Direct
0.0000 0.5000 0.2392
0.5000 0.0000 0.7608
0.5000 0.5000 0.0000
0.0000 0.0000 0.0000
0.0000 0.5000 0.6294
0.5000 0.0000 0.3706
0.0000 0.0000 0.5000
0.0000 0.5000 0.8540
0.5000 0.0000 0.1460
0.5000 0.5000 0.5000



[20]
PBE U2CuGe4Ir3, optimized geometry; energy relative to the elements = -3.7 eV per formula unit; symmetry = P-4m2 (115)
1.0
4.1959 0.0000 0.0000
0.0000 4.1959 0.0000
0.0000 0.0000 10.1760
U Cu Ge Ir
2 1 4 3
Direct
0.0000 0.5000 0.2486
0.5000 0.0000 0.7514
0.0000 0.0000 0.5000
0.0000 0.0000 0.0000
0.0000 0.5000 0.6309
0.5000 0.0000 0.3691
0.5000 0.5000 0.0000
0.0000 0.5000 0.8682
0.5000 0.0000 0.1318
0.5000 0.5000 0.5000



[21]
PBE CuGeIr2W, optimized geometry; energy relative to the elements = 7.5 eV per formula unit; symmetry = P4/mmm (123)
1.0
4.7615 0.0000 0.0000
0.0000 4.7615 0.0000
0.0000 0.0000 4.8385
Cu Ge Ir W
1 1 2 1
Direct
0.0000 0.0000 0.0000
0.5000 0.5000 0.0000
0.0000 0.5000 0.5000
0.5000 0.0000 0.5000
0.5000 0.5000 0.5000



[22]
PBE Y2CuGeIr, optimized geometry; energy relative to the elements = 0.6 eV per formula unit; symmetry = P4/mmm (123)
1.0
5.1323 0.0000 0.0000
0.0000 5.1323 0.0000
0.0000 0.0000 4.5262
Y Cu Ge Ir
2 1 1 1
Direct
0.0000 0.5000 0.0000
0.5000 0.0000 0.0000
0.0000 0.0000 0.0000
0.5000 0.5000 0.5000
0.0000 0.0000 0.5000



[23]
PBE YCuGeIr2, optimized geometry; energy relative to the elements = 3.3 eV per formula unit; symmetry = P4/mmm (123)
1.0
4.5927 0.0000 0.0000
0.0000 4.5927 0.0000
0.0000 0.0000 4.8008
Y Cu Ge Ir
1 1 1 2
Direct
0.0000 0.0000 0.0000
0.0000 0.0000 0.5000
0.5000 0.5000 0.0000
0.0000 0.5000 0.5000
0.5000 0.0000 0.5000



[24]
PBE Y2CuGe4Ir3, optimized geometry; energy relative to the elements = -6.6 eV per formula unit; symmetry = P-4m2 (115)
1.0
4.2248 0.0000 0.0000
0.0000 4.2248 0.0000
0.0000 0.0000 10.1569
Y Cu Ge Ir
2 1 4 3
Direct
0.0000 0.5000 0.2454
0.5000 0.0000 0.7546
0.0000 0.0000 0.5000
0.0000 0.0000 0.0000
0.0000 0.5000 0.6316
0.5000 0.0000 0.3684
0.5000 0.5000 0.0000
0.0000 0.5000 0.8707
0.5000 0.0000 0.1293
0.5000 0.5000 0.5000



[25]
PBE Y2Cu3Ge4Ir, optimized geometry; energy relative to the elements = -5.2 eV per formula unit; symmetry = P-4m2 (115)
1.0
4.1183 0.0000 0.0000
0.0000 4.1183 0.0000
0.0000 0.0000 10.2714
Y Cu Ge Ir
2 3 4 1
Direct
0.0000 0.5000 0.2473
0.5000 0.0000 0.7527
0.0000 0.0000 0.0000
0.0000 0.5000 0.6346
0.5000 0.0000 0.3654
0.0000 0.0000 0.5000
0.0000 0.5000 0.8649
0.5000 0.0000 0.1351
0.5000 0.5000 0.5000
0.5000 0.5000 0.0000



Calculated values (Å³ per cell) of volume for the records, taken in order: 56.3, 182.9, 70.6, 90.9, 174.9, 185.7, 182.4, 182.9, 151.2, 60.4, 462.7, 90.3, 97.0, 181.5, 186.6, 100.4, 178.4, 87.0, 177.4, 179.2, 109.7, 119.2, 101.3, 181.3, 174.2.